The following is a PBE calculation of an optimized crystal structure of Hg2PdIO6, from Alexandria.

Computed properties:
DFT total energy, eV for the cell shown: -79.0
D(E_F), states/eV/atom: 0.28
Space group: P2_1/c (14)

Cell and atoms, written as POSCAR:
```
Hg2PdIO6
1.0
5.001 0.000 0.000
0.000 5.530 0.000
-4.198 0.000 10.152
Hg Pd I O
4 2 2 12
direct
0.215 0.022 0.225
0.215 0.478 0.725
0.785 0.522 0.275
0.785 0.978 0.775
0.500 0.000 0.000
0.500 0.500 0.500
0.000 0.000 0.500
0.000 0.500 0.000
0.165 0.234 0.914
0.165 0.266 0.414
0.190 0.749 0.918
0.190 0.751 0.418
0.313 0.021 0.674
0.313 0.479 0.174
0.687 0.521 0.826
0.687 0.979 0.326
0.810 0.249 0.582
0.810 0.251 0.082
0.835 0.734 0.586
0.835 0.766 0.086
```

The following is a PBE calculation of an optimized crystal structure of HgPdI2O, from Alexandria.

Computed properties:
ΔE to the lowest computed polymorph, meV/atom: 526.6
D(E_F), states/eV/atom: 1.89
Space group: P4/mmm (123)

Cell and atoms, written as POSCAR:
```
HgPdI2O
1.0
5.937 0.000 0.000
0.000 5.937 0.000
0.000 0.000 4.026
Hg Pd I O
1 1 2 1
direct
0.000 0.000 0.000
0.500 0.500 0.500
0.000 0.500 0.000
0.500 0.000 0.000
0.000 0.000 0.500
```

The following is a PBE calculation of an optimized crystal structure of HgPdI2O, from Alexandria.

Computed properties:
ΔE to the lowest computed polymorph, meV/atom: 0.0
D(E_F), states/eV/atom: 0.59
Space group: P4/mmm (123)

Cell and atoms, written as POSCAR:
```
HgPdI2O
1.0
5.723 0.000 0.000
0.000 5.723 0.000
0.000 0.000 3.915
Hg Pd I O
1 1 2 1
direct
0.000 0.000 0.000
0.500 0.500 0.500
0.000 0.500 0.500
0.500 0.000 0.500
0.500 0.500 0.000
```

The following is a PBE calculation of an optimized crystal structure of PmHgIO, from Alexandria.

Computed properties:
DFT total energy, eV for the cell shown: -38.9
D(E_F), states/eV/atom: 0.14
Space group: P4/nmm (129)

Cell and atoms, written as POSCAR:
```
PmHgIO
1.0
4.124 0.000 0.000
0.000 4.124 0.000
0.000 0.000 13.805
Pm Hg I O
2 2 2 2
direct
0.250 0.250 0.081
0.750 0.750 0.919
0.250 0.750 0.500
0.750 0.250 0.500
0.250 0.250 0.780
0.750 0.750 0.220
0.250 0.750 0.000
0.750 0.250 0.000
```

The following is a PBE calculation of an optimized crystal structure of PmHg2IO6, from Alexandria.

Computed properties:
DFT total energy, eV for the cell shown: -46.8
Space group: R3 (146)

Cell and atoms, written as POSCAR:
```
PmHg2IO6
1.0
2.953 1.705 5.130
-2.953 1.705 5.130
0.000 -3.410 5.130
Pm Hg I O
1 2 1 6
direct
0.000 0.000 0.000
0.249 0.249 0.249
0.782 0.782 0.782
0.493 0.493 0.493
0.156 0.705 0.389
0.224 0.618 0.868
0.389 0.156 0.705
0.618 0.868 0.224
0.705 0.389 0.156
0.868 0.224 0.618
```

The following is a PBE calculation of an optimized crystal structure of PrHgIO2, from Alexandria.

Computed properties:
DFT total energy, eV for the cell shown: -49.9
Space group: P2_1/m (11)

Cell and atoms, written as POSCAR:
```
PrHgIO2
1.0
6.879 0.000 0.000
0.000 3.913 0.000
-0.736 0.000 8.389
Pr Hg I O
2 2 2 4
direct
0.117 0.250 0.185
0.883 0.750 0.815
0.385 0.250 0.841
0.615 0.750 0.159
0.244 0.750 0.555
0.756 0.250 0.445
0.093 0.250 0.898
0.315 0.750 0.156
0.685 0.250 0.844
0.907 0.750 0.102
```

The following is a PBE calculation of an optimized crystal structure of PrHg2IO6, from Alexandria.

Computed properties:
DFT total energy, eV for the cell shown: -46.7
Space group: R3 (146)

Cell and atoms, written as POSCAR:
```
PrHg2IO6
1.0
2.969 1.714 5.201
-2.969 1.714 5.201
0.000 -3.428 5.201
Pr Hg I O
1 2 1 6
direct
0.000 0.000 0.000
0.247 0.247 0.247
0.785 0.785 0.785
0.491 0.491 0.491
0.156 0.700 0.394
0.221 0.613 0.868
0.394 0.156 0.700
0.613 0.868 0.221
0.700 0.394 0.156
0.868 0.221 0.613
```

The following is a PBE calculation of an optimized crystal structure of PrHgIO, from Alexandria.

Computed properties:
DFT total energy, eV for the cell shown: -38.8
D(E_F), states/eV/atom: 0.09
Space group: P4/nmm (129)

Cell and atoms, written as POSCAR:
```
PrHgIO
1.0
4.185 0.000 0.000
0.000 4.185 0.000
0.000 0.000 13.594
Pr Hg I O
2 2 2 2
direct
0.250 0.250 0.085
0.750 0.750 0.915
0.250 0.750 0.500
0.750 0.250 0.500
0.250 0.250 0.775
0.750 0.750 0.225
0.250 0.750 0.000
0.750 0.250 0.000
```

The following is a PBE calculation of an optimized crystal structure of PuHgIO6, from Alexandria.

Computed properties:
DFT total energy, eV for the cell shown: -111.8
D(E_F), states/eV/atom: 0.92
Space group: P-31c (163)

Cell and atoms, written as POSCAR:
```
PuHgIO6
1.0
5.716 0.000 0.000
-2.858 4.950 0.000
0.000 0.000 9.733
Pu Hg I O
2 2 2 12
direct
0.333 0.667 0.250
0.667 0.333 0.750
0.000 0.000 0.000
0.000 0.000 0.500
0.333 0.667 0.750
0.667 0.333 0.250
0.007 0.366 0.638
0.007 0.641 0.862
0.359 0.366 0.862
0.359 0.993 0.638
0.366 0.007 0.138
0.366 0.359 0.362
0.634 0.641 0.638
0.634 0.993 0.862
0.641 0.007 0.362
0.641 0.634 0.138
0.993 0.359 0.138
0.993 0.634 0.362
```

The following is a PBE calculation of an optimized crystal structure of PuHgIO4, from Alexandria.

Computed properties:
DFT total energy, eV for the cell shown: -90.1
D(E_F), states/eV/atom: 0.00
Space group: C2/m (12)

Cell and atoms, written as POSCAR:
```
PuHgIO4
1.0
6.144 -2.835 0.000
6.144 2.835 0.000
-3.000 0.000 9.746
Pu Hg I O
2 2 2 8
direct
0.140 0.140 0.229
0.860 0.860 0.771
0.356 0.356 0.061
0.644 0.644 0.939
0.471 0.471 0.692
0.529 0.529 0.308
0.005 0.005 0.875
0.051 0.566 0.882
0.275 0.275 0.360
0.434 0.949 0.118
0.566 0.051 0.882
0.725 0.725 0.640
0.949 0.434 0.118
0.995 0.995 0.125
```

The following is a PBE calculation of an optimized crystal structure of PuHgIO, from Alexandria.

Computed properties:
DFT total energy, eV for the cell shown: -55.8
D(E_F), states/eV/atom: 1.78
Space group: P4/nmm (129)

Cell and atoms, written as POSCAR:
```
PuHgIO
1.0
4.095 0.000 0.000
0.000 4.095 0.000
0.000 0.000 13.185
Pu Hg I O
2 2 2 2
direct
0.250 0.250 0.084
0.750 0.750 0.916
0.250 0.750 0.500
0.750 0.250 0.500
0.250 0.250 0.770
0.750 0.750 0.230
0.250 0.750 0.000
0.750 0.250 0.000
```

The following is a PBE calculation of an optimized crystal structure of PuHg2IO6, from Alexandria.

Computed properties:
DFT total energy, eV for the cell shown: -57.1
D(E_F), states/eV/atom: 0.03
Space group: P-1 (2)

Cell and atoms, written as POSCAR:
```
PuHg2IO6
1.0
6.062 0.000 0.000
-2.167 5.698 0.000
-1.209 -3.319 5.451
Pu Hg I O
1 2 1 6
direct
0.000 0.000 0.000
0.219 0.453 0.674
0.781 0.547 0.326
0.500 0.000 0.500
0.178 0.781 0.885
0.228 0.132 0.401
0.260 0.298 0.032
0.740 0.702 0.968
0.772 0.868 0.599
0.822 0.219 0.115
```